1.
Compound: Cs2KI6F
Source: the Alexandria database
Functional: PBE
Structure: optimized geometry

Lattice parameters (Å, degrees): 9.277 9.277 9.277 126.93 126.93 78.37
Sites, in units of the cell vectors:
Cs: 0.250 0.750 0.500
Cs: 0.750 0.250 0.500
K: 0.000 0.000 0.000
I: 0.233 0.233 0.000
I: 0.285 0.285 0.570
I: 0.285 0.715 0.000
I: 0.715 0.285 0.000
I: 0.715 0.715 0.430
I: 0.767 0.767 0.000
F: 0.500 0.500 0.000

Properties
Space group ... I4/mmm
Total magnetization ... 0.0 μB/f.u.
E_form (uncorrected) ... -724 meV/atom


2.
Compound: Ac2CCl
Source: the Alexandria database
Functional: PBE
Structure: optimized geometry

Lattice parameters (Å, degrees): 8.165 8.165 8.165 28.15 28.15 28.15
Sites, in units of the cell vectors:
Ac: 0.000 0.000 0.000
Ac: 0.205 0.205 0.205
C: 0.602 0.602 0.602
Cl: 0.434 0.434 0.434

Properties
Polymorph energy (0 for the lowest one) ... 14 meV/atom
Space group ... R3m
Total magnetization ... 0.0 μB/f.u.
E_form (uncorrected) ... -832 meV/atom


3.
Compound: DyPu2Pa
Source: the Alexandria database
Functional: PBE
Structure: optimized geometry

Lattice parameters (Å, degrees): 5.344 5.344 5.344 60.00 60.00 60.00
Sites, in units of the cell vectors:
Dy: 0.000 0.000 0.000
Pu: 0.250 0.250 0.250
Pu: 0.750 0.750 0.750
Pa: 0.500 0.500 0.500

Properties
Polymorph energy (0 for the lowest one) ... 174 meV/atom
Space group ... Fm-3m
Total magnetization ... 14.1 μB/f.u.
ΔH_f (0 K) ... 0.29 eV/atom


4.
Compound: SrLi5Sn7
Source: the Alexandria database
Functional: PBE
Structure: optimized geometry

Lattice parameters (Å, degrees): 7.696 7.696 7.696 133.64 96.77 101.06
Sites, in units of the cell vectors:
Sr: 0.000 0.000 0.000
Li: 0.000 0.505 0.009
Li: 0.000 0.991 0.494
Li: 0.496 0.505 0.506
Li: 0.496 0.991 0.991
Li: 0.759 0.259 0.500
Sn: 0.191 0.491 0.701
Sn: 0.235 0.735 0.500
Sn: 0.349 0.349 0.000
Sn: 0.350 0.009 0.341
Sn: 0.649 0.649 0.000
Sn: 0.668 0.009 0.659
Sn: 0.790 0.491 0.299

Properties
Space group ... Imm2
Total magnetization ... 0.0 μB/f.u.
ΔH_f (0 K) ... -0.33 eV/atom


5.
Compound: TbCe2Si2Ni2
Source: the Alexandria database
Functional: PBE
Structure: optimized geometry

Lattice parameters (Å, degrees): 9.302 9.302 9.302 25.53 25.53 25.53
Sites, in units of the cell vectors:
Tb: 0.000 0.000 0.000
Ce: 0.137 0.137 0.137
Ce: 0.863 0.863 0.863
Si: 0.262 0.262 0.262
Si: 0.738 0.738 0.738
Ni: 0.405 0.405 0.405
Ni: 0.595 0.595 0.595

Properties
Space group ... R-3m
Total magnetization ... 0.2 μB/f.u.
E_form (uncorrected) ... -672 meV/atom


6.
Compound: NbV2
Source: the Alexandria database
Functional: PBE
Structure: optimized geometry

Lattice parameters (Å, degrees): 3.132 5.045 6.246 104.85 91.71 106.13
Sites, in units of the cell vectors:
Nb: 0.161 0.324 0.325
Nb: 0.839 0.676 0.675
V: 0.166 0.329 0.840
V: 0.500 0.000 0.000
V: 0.500 0.000 0.500
V: 0.834 0.671 0.160

Properties
Space group ... P-1
Total magnetization ... 0.0 μB/f.u.
ΔH_f (0 K) ... 0.06 eV/atom


7.
Compound: MgCu2Ge2
Source: the Alexandria database
Functional: PBE
Structure: optimized geometry

Lattice parameters (Å, degrees): 7.282 7.282 3.052 90.00 90.00 90.00
Sites, in units of the cell vectors:
Mg: 0.000 0.000 0.000
Mg: 0.500 0.500 0.000
Cu: 0.122 0.378 0.000
Cu: 0.378 0.878 0.000
Cu: 0.622 0.122 0.000
Cu: 0.878 0.622 0.000
Ge: 0.176 0.676 0.500
Ge: 0.324 0.176 0.500
Ge: 0.676 0.824 0.500
Ge: 0.824 0.324 0.500

Properties
Space group ... P4/mbm
Total magnetization ... 0.0 μB/f.u.
ΔH_f (0 K) ... 0.06 eV/atom


8.
Compound: ScZn2Ru
Source: the Alexandria database
Functional: PBE
Structure: optimized geometry

Lattice parameters (Å, degrees): 10.038 10.038 10.038 158.37 158.37 30.78
Sites, in units of the cell vectors:
Sc: 0.000 0.000 0.000
Sc: 0.750 0.250 0.500
Zn: 0.161 0.625 0.036
Zn: 0.375 0.411 0.536
Zn: 0.589 0.125 0.964
Zn: 0.875 0.839 0.464
Ru: 0.250 0.750 0.500
Ru: 0.500 0.500 0.000

Properties
Space group ... I-42d
Total magnetization ... 0.0 μB/f.u.
ΔH_f (0 K) ... 0.00 eV/atom


total magnetization of number 6 (NbV2)? 0.0 μB/f.u.